Np4BiPd15 after structural relaxation. Source: Alexandria via LeMat-Bulk, functional GGA-PBE.

## Properties
Energy relative to the elements: -0.397 eV per atom
Volume: 17.889 Å³/atom
Magnetic moment: 13.932 μB/f.u.
Total DFT energy (no corrections): -7.074 eV per atom
N(E_F): 2.303 states/eV per atom

Unit cell a=4.156 b=4.156 c=20.715 alpha=90.00 beta=90.00 gamma=90.00
Fractional positions:
Np  0.000  0.000  0.100
Np  0.000  0.000  0.300
Np  0.000  0.000  0.700
Np  0.000  0.000  0.900
Bi  0.000  0.000  0.500
Pd  0.000  0.500  0.000
Pd  0.000  0.500  0.200
Pd  0.000  0.500  0.398
Pd  0.000  0.500  0.602
Pd  0.000  0.500  0.800
Pd  0.500  0.000  0.000
Pd  0.500  0.000  0.200
Pd  0.500  0.000  0.398
Pd  0.500  0.000  0.602
Pd  0.500  0.000  0.800
Pd  0.500  0.500  0.100
Pd  0.500  0.500  0.301
Pd  0.500  0.500  0.500
Pd  0.500  0.500  0.699
Pd  0.500  0.500  0.900

Np4Bi8Pd3 after structural relaxation. Source: Alexandria via LeMat-Bulk, functional GGA-PBE.

## Properties
Energy relative to the elements: -0.142 eV per atom
Volume: 26.693 Å³/atom
Magnetic moment: 15.706 μB/f.u.
Total DFT energy (no corrections): -6.701 eV per atom
N(E_F): 3.408 states/eV per atom

Unit cell a=4.606 b=4.606 c=18.870 alpha=90.00 beta=90.00 gamma=90.00
Fractional positions:
Np  0.000  0.500  0.111
Np  0.000  0.500  0.617
Np  0.500  0.000  0.383
Np  0.500  0.000  0.889
Bi  0.000  0.000  0.246
Bi  0.000  0.000  0.754
Bi  0.000  0.500  0.409
Bi  0.000  0.500  0.917
Bi  0.500  0.000  0.083
Bi  0.500  0.000  0.591
Bi  0.500  0.500  0.247
Bi  0.500  0.500  0.753
Pd  0.000  0.000  0.000
Pd  0.000  0.000  0.500
Pd  0.500  0.500  0.500

NpBi2Pd after structural relaxation. Source: Alexandria via LeMat-Bulk, functional GGA-PBE.

## Properties
Energy relative to the elements: -0.171 eV per atom
Volume: 25.394 Å³/atom
Magnetic moment: 4.017 μB/f.u.
Total DFT energy (no corrections): -6.644 eV per atom
N(E_F): 3.520 states/eV per atom

Unit cell a=9.862 b=9.862 c=9.862 alpha=152.57 beta=152.57 gamma=39.18
Fractional positions:
Np  0.130  0.130  0.000
Np  0.870  0.870  0.000
Bi  0.000  0.500  0.500
Bi  0.338  0.338  0.000
Bi  0.500  0.000  0.500
Bi  0.662  0.662  0.000
Pd  0.250  0.750  0.500
Pd  0.750  0.250  0.500

NpBi2Pd after structural relaxation. Source: Alexandria via LeMat-Bulk, functional GGA-PBE.

## Properties
Energy relative to the elements: 0.058 eV per atom
Volume: 27.508 Å³/atom
Magnetic moment: 4.823 μB/f.u.
Total DFT energy (no corrections): -6.416 eV per atom
N(E_F): 3.006 states/eV per atom

Unit cell a=7.034 b=7.034 c=7.034 alpha=36.47 beta=36.47 gamma=36.47
Fractional positions:
Np  0.000  0.000  0.000
Bi  0.228  0.228  0.228
Bi  0.430  0.430  0.430
Pd  0.824  0.824  0.824

NpBi2Pd after structural relaxation. Source: Alexandria via LeMat-Bulk, functional GGA-PBE.

## Properties
Energy relative to the elements: 0.040 eV per atom
Volume: 25.105 Å³/atom
Magnetic moment: 4.879 μB/f.u.
Total DFT energy (no corrections): -6.434 eV per atom
N(E_F): 2.006 states/eV per atom

Unit cell a=3.448 b=3.448 c=8.446 alpha=90.00 beta=90.00 gamma=90.00
Fractional positions:
Np  0.000  0.000  0.000
Bi  0.500  0.500  0.285
Bi  0.500  0.500  0.715
Pd  0.000  0.000  0.500

NpBi4Pd15 after structural relaxation. Source: Alexandria via LeMat-Bulk, functional GGA-PBE.

## Properties
Energy relative to the elements: -0.272 eV per atom
Volume: 17.748 Å³/atom
Magnetic moment: 3.466 μB/f.u.
Total DFT energy (no corrections): -5.589 eV per atom
N(E_F): 1.107 states/eV per atom

Unit cell a=4.150 b=4.150 c=20.611 alpha=90.00 beta=90.00 gamma=90.00
Fractional positions:
Np  0.000  0.000  0.000
Bi  0.000  0.000  0.201
Bi  0.000  0.000  0.400
Bi  0.000  0.000  0.600
Bi  0.000  0.000  0.799
Pd  0.000  0.500  0.098
Pd  0.000  0.500  0.300
Pd  0.000  0.500  0.500
Pd  0.000  0.500  0.700
Pd  0.000  0.500  0.902
Pd  0.500  0.000  0.098
Pd  0.500  0.000  0.300
Pd  0.500  0.000  0.500
Pd  0.500  0.000  0.700
Pd  0.500  0.000  0.902
Pd  0.500  0.500  0.000
Pd  0.500  0.500  0.200
Pd  0.500  0.500  0.400
Pd  0.500  0.500  0.600
Pd  0.500  0.500  0.800

NpBi2Pd after structural relaxation. Source: Alexandria via LeMat-Bulk, functional GGA-PBE.

## Properties
Energy relative to the elements: -0.088 eV per atom
Volume: 24.738 Å³/atom
Magnetic moment: 3.926 μB/f.u.
Total DFT energy (no corrections): -6.562 eV per atom
N(E_F): 2.742 states/eV per atom

Unit cell a=4.860 b=4.860 c=4.189 alpha=90.00 beta=90.00 gamma=90.00
Fractional positions:
Np  0.000  0.000  0.000
Bi  0.000  0.500  0.500
Bi  0.500  0.000  0.500
Pd  0.500  0.500  0.000

NpBi3Pd12 after structural relaxation. Source: Alexandria via LeMat-Bulk, functional GGA-PBE.

## Properties
Energy relative to the elements: -0.284 eV per atom
Volume: 17.750 Å³/atom
Magnetic moment: 3.415 μB/f.u.
Total DFT energy (no corrections): -5.715 eV per atom
N(E_F): 1.146 states/eV per atom

Unit cell a=4.154 b=4.154 c=16.458 alpha=90.00 beta=90.00 gamma=90.00
Fractional positions:
Np  0.000  0.000  0.000
Bi  0.000  0.000  0.251
Bi  0.000  0.000  0.500
Bi  0.000  0.000  0.749
Pd  0.000  0.500  0.122
Pd  0.000  0.500  0.375
Pd  0.000  0.500  0.625
Pd  0.000  0.500  0.878
Pd  0.500  0.000  0.122
Pd  0.500  0.000  0.375
Pd  0.500  0.000  0.625
Pd  0.500  0.000  0.878
Pd  0.500  0.500  0.000
Pd  0.500  0.500  0.251
Pd  0.500  0.500  0.500
Pd  0.500  0.500  0.749

NpBi7Pd4 after structural relaxation. Source: Alexandria via LeMat-Bulk, functional GGA-PBE.

## Properties
Energy relative to the elements: -0.005 eV per atom
Volume: 26.544 Å³/atom
Magnetic moment: 4.101 μB/f.u.
Total DFT energy (no corrections): -5.078 eV per atom
N(E_F): 1.251 states/eV per atom

Unit cell a=7.311 b=7.311 c=10.319 alpha=124.10 beta=124.10 gamma=46.84
Fractional positions:
Np  0.000  0.000  0.000
Bi  0.105  0.105  0.376
Bi  0.197  0.197  0.910
Bi  0.338  0.338  0.356
Bi  0.500  0.500  0.000
Bi  0.662  0.662  0.644
Bi  0.803  0.803  0.090
Bi  0.895  0.895  0.624
Pd  0.260  0.260  0.705
Pd  0.473  0.473  0.702
Pd  0.527  0.527  0.298
Pd  0.740  0.740  0.295

NpBiPdPt after structural relaxation. Source: Alexandria via LeMat-Bulk, functional GGA-PBE.

## Properties
Energy relative to the elements: -0.297 eV per atom
Volume: 21.220 Å³/atom
Magnetic moment: 3.716 μB/f.u.
Total DFT energy (no corrections): -7.311 eV per atom
N(E_F): 2.792 states/eV per atom

Unit cell a=4.933 b=4.933 c=4.933 alpha=60.00 beta=60.00 gamma=60.00
Fractional positions:
Np  0.000  0.000  0.000
Bi  0.500  0.500  0.500
Pd  0.750  0.750  0.750
Pt  0.250  0.250  0.250

NpBiPdRh after structural relaxation. Source: Alexandria via LeMat-Bulk, functional GGA-PBE.

## Properties
Energy relative to the elements: -0.192 eV per atom
Volume: 20.474 Å³/atom
Magnetic moment: 3.567 μB/f.u.
Total DFT energy (no corrections): -7.533 eV per atom
N(E_F): 2.518 states/eV per atom

Unit cell a=4.874 b=4.874 c=4.874 alpha=60.00 beta=60.00 gamma=60.00
Fractional positions:
Np  0.000  0.000  0.000
Bi  0.500  0.500  0.500
Pd  0.750  0.750  0.750
Rh  0.250  0.250  0.250

PmNpBi2 after structural relaxation. Source: Alexandria via LeMat-Bulk, functional GGA-PBE.

## Properties
Energy relative to the elements: -0.311 eV per atom
Volume: 29.597 Å³/atom
Magnetic moment: 4.672 μB/f.u.
Total DFT energy (no corrections): -6.675 eV per atom
N(E_F): 2.935 states/eV per atom

Unit cell a=5.921 b=5.921 c=3.377 alpha=90.00 beta=90.00 gamma=90.00
Fractional positions:
Pm  0.000  0.000  0.000
Np  0.500  0.500  0.000
Bi  0.000  0.500  0.500
Bi  0.500  0.000  0.500

N(E_F) of number 11 (NpBiPdRh)? 2.518 states/eV per atom

What is the magnetic moment in the fifth record? 4.879 μB/f.u.

What is the formula in the ninth record? NpBi7Pd4

Repeat the eleventh record exactly.
NpBiPdRh after structural relaxation. Source: Alexandria via LeMat-Bulk, functional GGA-PBE.

## Properties
Energy relative to the elements: -0.192 eV per atom
Volume: 20.474 Å³/atom
Magnetic moment: 3.567 μB/f.u.
Total DFT energy (no corrections): -7.533 eV per atom
N(E_F): 2.518 states/eV per atom

Unit cell a=4.874 b=4.874 c=4.874 alpha=60.00 beta=60.00 gamma=60.00
Fractional positions:
Np  0.000  0.000  0.000
Bi  0.500  0.500  0.500
Pd  0.750  0.750  0.750
Rh  0.250  0.250  0.250